Entry 1:
This record from the Alexandria database describes a geometry-optimized NaSr2AlAu6 structure. The functional is GGA-PBE.

Cell and atoms, written as POSCAR:
```
NaSr2AlAu6
1.0
0.0000 5.0753 5.0753
5.0753 0.0000 5.0753
5.0753 5.0753 0.0000
Na Sr Al Au
1 2 1 6
Direct
0.0000 0.0000 0.0000
0.2500 0.2500 0.2500
0.7500 0.7500 0.7500
0.5000 0.5000 0.5000
0.2592 0.2592 0.7408
0.2592 0.7408 0.2592
0.2592 0.7408 0.7408
0.7408 0.2592 0.2592
0.7408 0.2592 0.7408
0.7408 0.7408 0.2592
```

Results
M_tot: 0.00 μB per formula unit
Energy of formation: -0.2922 eV per atom
Mass density: 8.9 g/cm3

Entry 2:
This record from the Alexandria database describes a geometry-optimized AlGaPb2 structure. The functional is GGA-PBE.

Cell and atoms, written as POSCAR:
```
AlGaPb2
1.0
4.7603 0.0000 0.0000
0.0000 4.7603 0.0000
0.0000 0.0000 4.5614
Al Ga Pb
1 1 2
Direct
0.0000 0.0000 0.0000
0.5000 0.5000 0.0000
0.0000 0.5000 0.5000
0.5000 0.0000 0.5000
```

Results
M_tot: 0.00 μB per formula unit
Energy of formation: 0.1802 eV per atom
Mass density: 8.2 g/cm3

Entry 3:
This record from the Alexandria database describes a geometry-optimized Ge2WI structure. The functional is GGA-PBE.

Cell and atoms, written as POSCAR:
```
Ge2WI
1.0
0.0000 3.3907 3.3907
3.3907 0.0000 3.3907
3.3907 3.3907 0.0000
Ge W I
2 1 1
Direct
0.2500 0.2500 0.2500
0.7500 0.7500 0.7500
0.0000 0.0000 0.0000
0.5000 0.5000 0.5000
```

Results
Raw formation energy: 1243 meV per atom
M_tot: 0.00 μB per formula unit
Mass density: 9.7 g/cm3

Entry 4:
This record from the Alexandria database describes a geometry-optimized Zr6TcSb2 structure. The functional is GGA-PBE.

Cell and atoms, written as POSCAR:
```
Zr6TcSb2
1.0
7.8975 0.0000 0.0000
-3.9488 6.8395 0.0000
0.0000 0.0000 3.6637
Zr Tc Sb
6 1 2
Direct
0.0000 0.2487 0.0000
0.0000 0.5966 0.5000
0.2487 0.0000 0.0000
0.4034 0.4034 0.5000
0.5966 0.0000 0.5000
0.7513 0.7513 0.0000
0.0000 0.0000 0.5000
0.3333 0.6667 0.0000
0.6667 0.3333 0.0000
```

Results
Raw formation energy: -517 meV per atom
M_tot: 0.00 μB per formula unit
Mass density: 7.5 g/cm3

Entry 5:
This record from the Alexandria database describes a geometry-optimized K2TaAs structure. The functional is GGA-PBE.

Cell and atoms, written as POSCAR:
```
K2TaAs
1.0
1.9156 -2.2288 0.0000
1.9156 2.2288 0.0000
0.0000 0.0000 11.8572
K Ta As
2 1 1
Direct
0.0000 0.0000 0.2196
0.0000 0.0000 0.7804
0.5000 0.5000 0.5000
0.5000 0.5000 0.0000
```

Results
M_tot: 0.00 μB per formula unit
Energy of formation: 0.7257 eV per atom
Mass density: 5.5 g/cm3

Entry 6:
This record from the Alexandria database describes a geometry-optimized SrLa5In4 structure. The functional is GGA-PBE.

Cell and atoms, written as POSCAR:
```
SrLa5In4
1.0
3.9353 0.0000 0.0000
0.0000 3.9353 0.0000
0.0000 0.0000 21.9621
Sr La In
1 5 4
Direct
0.0000 0.0000 0.0000
0.5000 0.5000 0.1397
0.5000 0.5000 0.3185
0.5000 0.5000 0.5000
0.5000 0.5000 0.6815
0.5000 0.5000 0.8603
0.0000 0.0000 0.2258
0.0000 0.0000 0.4092
0.0000 0.0000 0.5908
0.0000 0.0000 0.7742
```

Results
M_tot: 0.00 μB per formula unit
Energy of formation: -0.3723 eV per atom
Mass density: 6.1 g/cm3

Entry 7:
This record from the Alexandria database describes a geometry-optimized SrBe3P structure. The functional is GGA-PBE.

Cell and atoms, written as POSCAR:
```
SrBe3P
1.0
5.2354 0.0000 0.0000
0.0000 5.2354 0.0000
0.0000 0.0000 5.2354
Sr Be P
1 3 1
Direct
0.0000 0.0000 0.0000
0.0000 0.0000 0.5000
0.0000 0.5000 0.0000
0.5000 0.0000 0.0000
0.5000 0.5000 0.5000
```

Results
M_tot: 0.00 μB per formula unit
Energy of formation: 2.4562 eV per atom
Mass density: 1.7 g/cm3

Entry 8:
This record from the Alexandria database describes a geometry-optimized LiAlGaPd2 structure. The functional is GGA-PBE.

Cell and atoms, written as POSCAR:
```
LiAlGaPd2
1.0
4.6289 0.0000 0.0000
0.0000 4.6289 0.0000
0.0000 0.0000 4.3080
Li Al Ga Pd
1 1 1 2
Direct
0.0000 0.0000 0.0000
0.5000 0.5000 0.0000
0.0000 0.0000 0.5000
0.0000 0.5000 0.5000
0.5000 0.0000 0.5000
```

Results
M_tot: 0.00 μB per formula unit
Energy of formation: 0.0956 eV per atom
Mass density: 5.7 g/cm3

Entry 9:
This record from the Alexandria database describes a geometry-optimized NaSr3I structure. The functional is GGA-PBE.

Cell and atoms, written as POSCAR:
```
NaSr3I
1.0
6.6083 0.0000 0.0000
0.0000 6.6083 0.0000
0.0000 0.0000 6.6083
Na Sr I
1 3 1
Direct
0.0000 0.0000 0.0000
0.0000 0.0000 0.5000
0.0000 0.5000 0.0000
0.5000 0.0000 0.0000
0.5000 0.5000 0.5000
```

Results
Raw formation energy: 32 meV per atom
M_tot: 0.00 μB per formula unit
Mass density: 2.4 g/cm3

Entry 10:
This record from the Alexandria database describes a geometry-optimized Zr2SbBr structure. The functional is GGA-PBE.

Cell and atoms, written as POSCAR:
```
Zr2SbBr
1.0
-1.6504 2.5254 5.5482
1.6504 -2.5254 5.5482
1.6504 2.5254 -5.5482
Zr Sb Br
2 1 1
Direct
0.0000 0.0000 0.0000
0.7259 0.2259 0.5000
0.4942 0.4942 0.0000
0.2066 0.7066 0.5000
```

Results
Raw formation energy: -333 meV per atom
M_tot: 0.00 μB per formula unit
Mass density: 6.9 g/cm3

Entry 11:
This record from the Alexandria database describes a geometry-optimized Tb4Tm3 structure. The functional is GGA-PBE.

Cell and atoms, written as POSCAR:
```
Tb4Tm3
1.0
-1.7601 2.4888 12.3419
1.7601 -2.4888 12.3419
1.7601 2.4888 -12.3419
Tb Tm
4 3
Direct
0.0711 0.0711 0.0000
0.2139 0.2139 0.0000
0.7861 0.7861 0.0000
0.9289 0.9289 0.0000
0.3575 0.3575 0.0000
0.5000 0.5000 0.0000
0.6425 0.6425 0.0000
```

Results
M_tot: 0.00 μB per formula unit
Energy of formation: 0.0203 eV per atom
Mass density: 8.8 g/cm3

Entry 12:
This record from the Alexandria database describes a geometry-optimized Cd2WSe structure. The functional is GGA-PBE.

Cell and atoms, written as POSCAR:
```
Cd2WSe
1.0
-1.5394 2.4610 6.0074
1.5394 -2.4610 6.0074
1.5394 2.4610 -6.0074
Cd W Se
2 1 1
Direct
0.0000 0.0000 0.0000
0.6667 0.1667 0.5000
0.4607 0.4607 0.0000
0.3021 0.8021 0.5000
```

Results
Raw formation energy: 290 meV per atom
M_tot: 0.00 μB per formula unit
Mass density: 8.9 g/cm3

Entry 13:
This record from the Alexandria database describes a geometry-optimized LaSiPt4 structure. The functional is GGA-PBE.

Cell and atoms, written as POSCAR:
```
LaSiPt4
1.0
2.0121 -7.8150 0.0000
2.0121 7.8150 0.0000
0.0000 0.0000 6.8383
La Si Pt
2 2 8
Direct
0.1022 0.8978 0.7500
0.8978 0.1022 0.2500
0.2366 0.7634 0.2500
0.7634 0.2366 0.7500
0.0849 0.9151 0.2500
0.3146 0.6854 0.5476
0.3146 0.6854 0.9524
0.5000 0.5000 0.0000
0.5000 0.5000 0.5000
0.6854 0.3146 0.0476
0.6854 0.3146 0.4524
0.9151 0.0849 0.7500
```

Results
Raw formation energy: -911 meV per atom
M_tot: 0.00 μB per formula unit
Mass density: 14.6 g/cm3